## AlPbBr (PBE-GGA)

Data for a relaxed structure of AlPbBr.

a = 7.3498 Å, b = 7.3498 Å, c = 7.3498 Å
α = 90.00°, β = 90.00°, γ = 90.00°
Space group F-43m (No. 216)
Unique sites:
Al 0.0000 0.0000 0.0000 [4 per cell]
Pb 0.2500 0.2500 0.7500 [4 per cell]
Br 0.0000 0.0000 0.5000 [4 per cell]

M_tot (μB/f.u.): 0.00
Density of states at the Fermi level (states/eV per atom): 1.177
Uncorrected formation energy (kJ per mole of atoms): 26.3